Dy4CO3 | PBE | relaxed

Properties
formation energy from raw total energies: -226.7 kJ per mole of atoms

```
Dy4CO3
1.0
5.9804 0.0000 0.0000
0.0000 6.9470 0.0000
-1.9931 0.0000 5.6528
Dy C O
8 2 6
Direct
0.2448 0.1198 0.0002
0.2448 0.8802 0.5002
0.2467 0.3694 0.4943
0.2467 0.6306 0.9943
0.7533 0.3694 0.0057
0.7533 0.6306 0.5057
0.7552 0.1198 0.4998
0.7552 0.8802 0.9998
0.0000 0.1305 0.2500
0.0000 0.8695 0.7500
0.0000 0.3797 0.7500
0.0000 0.6203 0.2500
0.5000 0.1332 0.7500
0.5000 0.3802 0.2500
0.5000 0.6198 0.7500
0.5000 0.8668 0.2500
```